NdAlSi after structural relaxation. Source: Alexandria via LeMat-Bulk, functional PBEsol.

Cell: 4.1994 4.1994 4.1282 Å, 90.00 90.00 120.00°
With the nearest neighbours (Å) after each atom.
Atoms (fractional coordinates):
Nd (0.0000, 0.0000, 0.0000)  6 Al 3.18, 6 Si 3.18
Al (0.6667, 0.3333, 0.5000)  3 Si 2.42
Si (0.3333, 0.6667, 0.5000)  3 Al 2.42

Values from the calculation:
Crystal system = hexagonal
Uncorrected formation energy = -0.6878 eV per atom
Density = 5.249 g/cm³


K2PtPb after structural relaxation. Source: Alexandria via LeMat-Bulk, functional PBEsol.

Cell: 3.7092 3.7092 9.8355 Å, 90.00 90.00 90.00°
With the nearest neighbours (Å) after each atom.
Atoms (fractional coordinates):
K (0.0000, 0.0000, 0.0000)  1 Pb 3.33, 4 Pt 3.48, 4 K 3.71
K (0.5000, 0.5000, 0.4151)  1 Pt 3.46, 4 Pb 3.57, 4 K 3.71
Pt (0.5000, 0.5000, 0.7668)  4 Pb 2.82
Pb (0.0000, 0.0000, 0.6618)  4 Pt 2.82

Values from the calculation:
ΔH_f (0 K) = -0.067 eV per atom
Crystal system = tetragonal
Density = 5.896 g/cm³


Q: density of number 1 (NdAlSi)?
A: 5.249 g/cm³